# MnTl4F5

An optimized crystal structure of MnTl4F5 (GGA+U, Alexandria).

extended XYZ file:
```
10
Lattice="-0.497 -4.292 -0.402 5.653 -3.164 3.369 -3.874 -2.284 5.753" Properties=species:S:1:pos:R:3 pbc="T T T"
F -0.249 -2.150 -0.202
F -2.701 -2.255 3.938
Tl -0.305 -2.422 2.765
F 3.982 -7.494 4.781
Tl 1.586 -7.327 5.953
Tl -1.163 -4.780 5.576
F -0.019 -5.136 7.964
Mn -0.001 -0.004 0.000
F 1.300 -4.613 0.754
Tl 2.444 -4.969 3.143
```

Calculated volume: 210.9 Å³/cell
DOS at the Fermi energy: 3.446 states/eV per cell
Raw total energy: -4.40 eV/atom